No. 1
Zn3Cu7Pd (PBE, relaxed); ΔE_f = 0.14 eV per atom; mass density = 7.86 Mg/m³
1.0
-0.877 4.396 -1.747
-2.007 -5.183 -3.455
-4.087 -2.439 4.491
Zn Cu Pd
3 7 1
direct
0.500 0.000 0.000
0.000 0.783 0.217
0.000 0.217 0.783
0.331 0.582 0.065
0.331 0.065 0.582
0.000 0.500 0.500
0.623 0.792 0.792
0.377 0.208 0.208
0.669 0.418 0.935
0.669 0.935 0.418
0.500 0.500 0.500

No. 2
Li4MgPb2 (PBE, relaxed); energy above the most stable polymorph in this dataset = 0 meV per atom; ΔE_f = -0.15 eV per atom; mass density = 5.08 Mg/m³
1.0
7.575 0.000 -0.609
0.000 5.336 0.000
-3.563 0.000 7.833
Li Pb Mg
8 4 2
direct
0.043 0.750 0.826
0.020 0.750 0.430
0.581 0.002 0.191
0.957 0.250 0.174
0.419 0.998 0.809
0.419 0.502 0.809
0.980 0.250 0.570
0.581 0.498 0.191
0.794 0.750 0.036
0.661 0.750 0.522
0.339 0.250 0.478
0.206 0.250 0.964
0.238 0.750 0.211
0.762 0.250 0.789

No. 3
Mg3Ge (PBE, relaxed); ΔE_f = -0.09 eV per atom; mass density = 2.95 Mg/m³
1.0
3.133 -5.427 0.000
3.133 5.427 0.000
0.000 0.000 4.819
Mg Ge
6 2
direct
0.868 0.660 0.250
0.208 0.868 0.750
0.792 0.132 0.250
0.340 0.208 0.250
0.132 0.340 0.750
0.660 0.792 0.750
0.667 0.333 0.750
0.333 0.667 0.250

No. 4
Dy2ScAl (PBE, relaxed); energy above the most stable polymorph in this dataset = 163 meV per atom; ΔE_f = -0.05 eV per atom; mass density = 6.12 Mg/m³
1.0
3.494 0.000 0.000
1.747 3.026 0.000
1.747 1.009 10.182
Al Sc Dy
1 1 2
direct
0.666 0.666 0.001
0.500 0.500 0.499
0.076 0.076 0.771
0.257 0.257 0.229

No. 5
Pa2Co3Ge4Mo (PBE, relaxed); ΔE_f = -0.42 eV per atom; mass density = 10.29 Mg/m³
1.0
-1.965 1.787 -3.050
-0.998 -3.628 -1.483
-8.482 0.080 5.512
Co Ge Pa Mo
3 4 2 1
direct
0.500 0.000 0.876
0.000 0.500 0.124
0.000 0.000 0.500
0.500 0.000 0.647
0.000 0.500 0.353
0.000 0.000 0.000
0.500 0.500 0.000
0.000 0.500 0.762
0.500 0.000 0.238
0.500 0.500 0.500

No. 6
HfUTe2O (PBE, relaxed); energy relative to the elements, uncorrected = -7.47 eV per formula unit; mass density = 9.93 Mg/m³
1.0
3.823 0.000 0.000
0.000 3.823 0.000
0.000 0.000 15.745
Te Hf U O
4 2 2 2
direct
0.500 0.000 0.866
0.000 0.500 0.134
0.000 0.500 0.692
0.500 0.000 0.308
0.000 0.500 0.942
0.500 0.000 0.058
0.000 0.500 0.418
0.500 0.000 0.582
0.000 0.000 0.500
0.500 0.500 0.500